(1)
Here is a relaxed structure of Tl2In2Ag from the Alexandria database. Energies are from GGA-PBE.

## Properties
For the total magnetization, the calculation gives 0.0 μB per formula unit. Its total energy is -2.336 eV/atom. As for the formation enthalpy at 0 K: 0.276 eV per atom. The energy above the most stable polymorph in this dataset is 1.196 eV per formula unit. Its space-group type is I4/mmm (139).

Unit cell a=4.254 b=4.254 c=8.771 alpha=75.96 beta=75.96 gamma=90.00
Atoms (fractional coordinates):
In  0.589  0.589  0.822
In  0.411  0.411  0.178
Tl  0.750  0.250  0.500
Tl  0.250  0.750  0.500
Ag  0.000  0.000  0.000

---

(2)
Here is a relaxed structure of Tl17In11Ag from the Alexandria database. Energies are from GGA-PBE.

## Properties
For the total magnetization, the calculation gives 0.0 μB per formula unit. Its total energy is -2.508 eV/atom. As for the formation enthalpy at 0 K: 0.016 eV per atom. Its space-group type is Cm (8).

Unit cell a=10.346 b=10.346 c=10.396 alpha=109.76 beta=109.76 gamma=109.57
Atoms (fractional coordinates):
In  0.998  0.634  0.808
In  0.634  0.998  0.808
In  0.182  0.368  0.362
In  0.629  0.809  0.997
In  0.809  0.629  0.997
In  0.368  0.182  0.362
In  0.209  0.209  0.854
In  0.184  0.820  0.187
In  0.820  0.184  0.187
In  0.821  0.005  0.635
In  0.005  0.821  0.635
Tl  0.359  0.004  0.002
Tl  0.993  0.993  0.354
Tl  0.001  0.001  0.002
Tl  0.605  0.316  0.999
Tl  0.395  0.711  0.391
Tl  0.665  0.665  0.277
Tl  0.004  0.359  0.002
Tl  0.003  0.320  0.603
Tl  0.638  0.638  0.638
Tl  0.286  0.681  0.679
Tl  0.000  0.606  0.320
Tl  0.316  0.605  0.999
Tl  0.320  0.003  0.603
Tl  0.711  0.395  0.391
Tl  0.390  0.390  0.711
Tl  0.606  0.000  0.320
Tl  0.681  0.286  0.679
Ag  0.367  0.367  0.197

---

(3)
Here is a relaxed structure of TlIn2Ag from the Alexandria database. Energies are from GGA-PBE.

## Properties
For the total magnetization, the calculation gives 0.0 μB per formula unit. Its total energy is -2.577 eV/atom. As for the formation enthalpy at 0 K: 0.096 eV per atom. Its space-group type is I4/mmm (139).

Unit cell a=5.719 b=5.719 c=5.719 alpha=132.18 beta=132.18 gamma=69.95
Atoms (fractional coordinates):
In  0.000  0.000  0.000
In  0.500  0.500  0.000
Ag  0.750  0.250  0.500
Tl  0.250  0.750  0.500

---

(4)
Here is a relaxed structure of Tl2In8Ag from the Alexandria database. Energies are from GGA-PBE.

## Properties
For the total magnetization, the calculation gives 0.0 μB per formula unit. Its total energy is -2.651 eV/atom. As for the formation enthalpy at 0 K: 0.030 eV per atom. Its space-group type is P4/mmm (123).

Unit cell a=4.634 b=4.634 c=14.022 alpha=90.00 beta=90.00 gamma=90.00
Atoms (fractional coordinates):
In  0.500  0.000  0.871
In  0.000  0.500  0.871
In  0.500  0.500  0.309
In  0.000  0.500  0.129
In  0.500  0.000  0.500
In  0.500  0.000  0.129
In  0.000  0.500  0.500
In  0.500  0.500  0.691
Ag  0.000  0.000  0.000
Tl  0.000  0.000  0.318
Tl  0.000  0.000  0.682

---

(5)
Here is a relaxed structure of Tl2In5Ag from the Alexandria database. Energies are from GGA-PBE.

## Properties
For the total magnetization, the calculation gives 0.0 μB per formula unit. Its total energy is -2.625 eV/atom. As for the formation enthalpy at 0 K: 0.034 eV per atom. Its space-group type is I4/mmm (139).

Unit cell a=4.661 b=4.661 c=10.350 alpha=103.01 beta=103.01 gamma=90.00
Atoms (fractional coordinates):
In  0.888  0.388  0.775
In  0.112  0.612  0.225
In  0.612  0.112  0.225
In  0.388  0.888  0.775
In  0.500  0.500  0.000
Ag  0.000  0.000  0.000
Tl  0.745  0.745  0.490
Tl  0.255  0.255  0.510

---

(6)
Here is a relaxed structure of TlInAg6 from the Alexandria database. Energies are from GGA-PBE.

## Properties
For the total magnetization, the calculation gives 0.0 μB per formula unit. Its total energy is -2.732 eV/atom. As for the formation enthalpy at 0 K: 0.044 eV per atom. Its space-group type is Amm2 (38).

Unit cell a=4.852 b=6.087 c=6.087 alpha=119.79 beta=90.00 gamma=90.00
Atoms (fractional coordinates):
Ag  0.500  0.420  0.086
Ag  0.000  0.590  0.928
Ag  0.000  0.072  0.410
Ag  0.500  0.914  0.086
Ag  0.500  0.914  0.580
Ag  0.000  0.589  0.411
In  0.000  0.084  0.916
Tl  0.500  0.416  0.584

---

(7)
Here is a relaxed structure of TlIn3Ag from the Alexandria database. Energies are from GGA-PBE.

## Properties
For the total magnetization, the calculation gives 0.0 μB per formula unit. Its total energy is -2.657 eV/atom. As for the formation enthalpy at 0 K: 0.030 eV per atom. The energy above the most stable polymorph in this dataset is 0.000 eV per formula unit. Its space-group type is C2/m (12).

Unit cell a=9.929 b=9.929 c=6.171 alpha=69.73 beta=69.73 gamma=27.74
Atoms (fractional coordinates):
In  0.650  0.650  0.150
In  0.350  0.350  0.850
In  0.037  0.037  0.225
In  0.784  0.784  0.635
In  0.963  0.963  0.775
In  0.216  0.216  0.365
Tl  0.582  0.582  0.716
Tl  0.418  0.418  0.284
Ag  0.189  0.189  0.853
Ag  0.811  0.811  0.147

---

(8)
Here is a relaxed structure of TlIn2Ag from the Alexandria database. Energies are from GGA-PBE.

## Properties
For the total magnetization, the calculation gives 0.0 μB per formula unit. Its total energy is -2.599 eV/atom. As for the formation enthalpy at 0 K: 0.074 eV per atom. Its space-group type is Cm (8).

Unit cell a=5.417 b=5.417 c=6.193 alpha=80.18 beta=80.18 gamma=34.68
Atoms (fractional coordinates):
In  0.253  0.253  0.236
In  0.010  0.010  0.972
Tl  0.489  0.489  0.504
Ag  0.749  0.749  0.787